A plane-wave DFT calculation with PBE with a Hubbard U was carried out for a relaxed structure of LiMnF3.

Computed properties:
Size of the total moment   30.00 μB per cell
Raw total energy   -28.70 eV per formula unit
Space group   No. 2
Relative energy among the computed polymorphs   32.8 meV per atom

abc: 6.4499 7.0001 8.4668
angles: 91.48 105.38 99.38
Last column: nearest neighbours and their distance in Å.
Fractional positions:
Li: 0.0065 0.4117 0.3015  4 F 1.87-2.00
Li: 0.2404 0.8204 0.0077  4 F 1.85-1.94
Li: 0.4121 0.9339 0.6937  3 F 1.89-1.99
Li: 0.5879 0.0661 0.3063  3 F 1.89-1.99
Li: 0.7596 0.1796 0.9923  4 F 1.85-1.94
Li: 0.9935 0.5883 0.6985  4 F 1.87-2.00
Mn: 0.0571 0.9465 0.3414  4 F 2.03-2.24
Mn: 0.2982 0.3065 0.0094  6 F 2.05-2.25
Mn: 0.4198 0.4057 0.6499  6 F 2.09-2.26
Mn: 0.5802 0.5943 0.3501  6 F 2.09-2.26
Mn: 0.7018 0.6935 0.9906  6 F 2.05-2.25
Mn: 0.9429 0.0535 0.6586  4 F 2.03-2.24
F: 0.0371 0.3041 0.1045  2 Li 1.85-1.88, 1 Mn 2.05
F: 0.0706 0.8174 0.5762  2 Li 2.00-2.17, 2 Mn 2.14-2.19
F: 0.1252 0.3543 0.7494  1 Li 1.97
F: 0.2574 0.0350 0.8688  2 Li 1.94-2.16, 1 Mn 2.16
F: 0.2732 0.9581 0.2047  2 Li 1.85-1.99, 1 Mn 2.03
F: 0.2886 0.5239 0.4244  1 Li 1.87
F: 0.3443 0.1238 0.5387  1 Li 1.91, 1 Mn 2.09
F: 0.4133 0.6244 0.0902  1 Li 1.94
F: 0.4464 0.6874 0.7722  1 Li 1.89
F: 0.5536 0.3126 0.2278  1 Li 1.89
F: 0.5867 0.3756 0.9098  1 Li 1.94
F: 0.6557 0.8762 0.4613  1 Li 1.91, 1 Mn 2.09
F: 0.7114 0.4761 0.5756  1 Li 1.87
F: 0.7268 0.0419 0.7953  2 Li 1.85-1.99, 1 Mn 2.03
F: 0.7426 0.9650 0.1312  2 Li 1.94-2.16, 1 Mn 2.16
F: 0.8748 0.6457 0.2506  1 Li 1.97
F: 0.9294 0.1826 0.4238  2 Li 2.00-2.17, 2 Mn 2.14-2.19
F: 0.9629 0.6959 0.8955  2 Li 1.85-1.88, 1 Mn 2.05